Record 1
# AgMoPd2 | Alexandria via LeMat-Bulk | PBE-GGA | optimized geometry
data_AgMoPd2
_chemical_formula_sum 'Ag3 Mo3 Pd6'
_symmetry_space_group_name_H-M 'R -3 m'
_symmetry_Int_Tables_number 166
_symmetry_space_group_name_Hall '-R 3 2"'
_cell_length_a 2.8234
_cell_length_b 2.8234
_cell_length_c 27.7687
_cell_angle_alpha 90.00
_cell_angle_beta 90.00
_cell_angle_gamma 120.00
loop_
_atom_site_label
_atom_site_type_symbol
_atom_site_fract_x
_atom_site_fract_y
_atom_site_fract_z
_atom_site_occupancy
Ag1 Ag 0.0000 0.0000 0.0000 1
Mo1 Mo 0.0000 0.0000 0.5000 1
Pd1 Pd 0.0000 0.0000 0.2465 1
# - Offset from the most stable computed form: 51 meV/atom
# - Formation enthalpy at 0 K: 0.0 eV/f.u.
# - M_tot: 0.000 μB/f.u.

Record 2
# TbPmSmY2 | Alexandria via LeMat-Bulk | PBE-GGA | optimized geometry
data_TbPmSmY2
_chemical_formula_sum 'Tb4 Pm4 Sm4 Y8'
_symmetry_space_group_name_H-M 'C m c m'
_symmetry_Int_Tables_number 63
_symmetry_space_group_name_Hall '-C 2c 2'
_cell_length_a 8.476
_cell_length_b 11.543
_cell_length_c 7.195
_cell_angle_alpha 90.00
_cell_angle_beta 90.00
_cell_angle_gamma 90.00
loop_
_atom_site_label
_atom_site_type_symbol
_atom_site_fract_x
_atom_site_fract_y
_atom_site_fract_z
_atom_site_occupancy
Tb1 Tb 0.000 0.227 0.250 1
Pm1 Pm 0.000 0.497 0.750 1
Sm1 Sm 0.000 0.228 0.750 1
Y1 Y 0.188 0.000 0.000 1
# - Formation enthalpy at 0 K: 2.0 eV/f.u.
# - M_tot: 0.000 μB/f.u.

Record 3
# CeSm2C2 | Alexandria via LeMat-Bulk | PBE-GGA | optimized geometry
data_CeSm2C2
_chemical_formula_sum 'Ce3 Sm6 C6'
_symmetry_space_group_name_H-M 'R -3 m'
_symmetry_Int_Tables_number 166
_symmetry_space_group_name_Hall '-R 3 2"'
_cell_length_a 3.6607
_cell_length_b 3.6607
_cell_length_c 28.9505
_cell_angle_alpha 90.00
_cell_angle_beta 90.00
_cell_angle_gamma 120.00
loop_
_atom_site_label
_atom_site_type_symbol
_atom_site_fract_x
_atom_site_fract_y
_atom_site_fract_z
_atom_site_occupancy
Ce1 Ce 0.0000 0.0000 0.0000 1
Sm1 Sm 0.0000 0.0000 0.2335 1
C1 C 0.0000 0.0000 0.3881 1
# - Offset from the most stable computed form: 0 meV/atom
# - Formation enthalpy at 0 K: -0.7 eV/f.u.
# - M_tot: 0.219 μB/f.u.

Record 4
# H3PtS | Alexandria via LeMat-Bulk | PBE-GGA | optimized geometry
data_H3PtS
_chemical_formula_sum 'H3 Pt1 S1'
_symmetry_space_group_name_H-M 'P m -3 m'
_symmetry_Int_Tables_number 221
_symmetry_space_group_name_Hall '-P 4 2 3'
_cell_length_a 3.523
_cell_length_b 3.523
_cell_length_c 3.523
_cell_angle_alpha 90.00
_cell_angle_beta 90.00
_cell_angle_gamma 90.00
loop_
_atom_site_label
_atom_site_type_symbol
_atom_site_fract_x
_atom_site_fract_y
_atom_site_fract_z
_atom_site_occupancy
H1 H 0.000 0.000 0.500 1
Pt1 Pt 0.500 0.500 0.500 1
S1 S 0.000 0.000 0.000 1
# - Offset from the most stable computed form: 343 meV/atom
# - M_tot: 0.000 μB/f.u.

Record 5
# Rb2TlAsPt | Alexandria via LeMat-Bulk | PBE-GGA | optimized geometry
data_Rb2TlAsPt
_chemical_formula_sum 'Rb2 Tl1 As1 Pt1'
_symmetry_space_group_name_H-M 'P 4/m m m'
_symmetry_Int_Tables_number 123
_symmetry_space_group_name_Hall '-P 4 2'
_cell_length_a 6.614
_cell_length_b 6.614
_cell_length_c 4.633
_cell_angle_alpha 90.00
_cell_angle_beta 90.00
_cell_angle_gamma 90.00
loop_
_atom_site_label
_atom_site_type_symbol
_atom_site_fract_x
_atom_site_fract_y
_atom_site_fract_z
_atom_site_occupancy
Rb1 Rb 0.000 0.500 0.000 1
Tl1 Tl 0.000 0.000 0.500 1
As1 As 0.500 0.500 0.500 1
Pt1 Pt 0.500 0.500 0.000 1
# - Formation enthalpy at 0 K: -0.5 eV/f.u.
# - M_tot: 0.001 μB/f.u.

Record 6
# Ni2Pd4Pt3 | Alexandria via LeMat-Bulk | PBE-GGA | optimized geometry
data_Ni2Pd4Pt3
_chemical_formula_sum 'Ni4 Pd8 Pt6'
_symmetry_space_group_name_H-M 'C 1 2/m 1'
_symmetry_Int_Tables_number 12
_symmetry_space_group_name_Hall '-C 2y'
_cell_length_a 11.746
_cell_length_b 3.885
_cell_length_c 6.102
_cell_angle_alpha 90.00
_cell_angle_beta 108.78
_cell_angle_gamma 90.00
loop_
_atom_site_label
_atom_site_type_symbol
_atom_site_fract_x
_atom_site_fract_y
_atom_site_fract_z
_atom_site_occupancy
Ni1 Ni 0.169 0.000 0.499 1
Pd1 Pd 0.055 0.000 0.829 1
Pd2 Pd 0.222 0.500 0.822 1
Pt1 Pt 0.000 0.500 0.500 1
Pt2 Pt 0.116 0.500 0.183 1
# - Formation enthalpy at 0 K: -0.2 eV/f.u.
# - M_tot: 3.752 μB/f.u.